(1)
Density functional theory data (PBE-GGA) for LiPtN2F after structural relaxation.

Summary:
Energy relative to the lowest polymorph listed for this composition ... 0.000 eV per atom
Fermi-level density of states ... 2.35 states/eV per cell
Volume ... 17.52 A^3/atom

abc: 3.7016 3.7016 6.3924
angles: 90.00 90.00 90.00
Last column: nearest neighbours and their distance in Å.
Fractional positions:
1 Li 0.0000 0.0000 0.0000  4 F 2.62
2 Pt 0.5000 0.5000 0.5000  4 N 1.85
3 N 0.0000 0.5000 0.5000  2 Pt 1.85
4 N 0.5000 0.0000 0.5000  2 Pt 1.85
5 F 0.5000 0.5000 0.0000  4 Li 2.62

(2)
Density functional theory data (PBE-GGA) for LiReN2F after structural relaxation.

Summary:
Energy relative to the lowest polymorph listed for this composition ... 0.000 eV per atom
Fermi-level density of states ... 3.47 states/eV per cell
Volume ... 12.43 A^3/atom

abc: 3.8601 3.8601 4.1709
angles: 90.00 90.00 90.00
Last column: nearest neighbours and their distance in Å.
Fractional positions:
1 Li 0.0000 0.0000 0.0000  4 F 2.73, 8 N 2.84
2 Re 0.5000 0.5000 0.5000  4 N 1.93, 2 F 2.09
3 N 0.0000 0.5000 0.5000  2 Re 1.93
4 N 0.5000 0.0000 0.5000  2 Re 1.93
5 F 0.5000 0.5000 0.0000  2 Re 2.09

(3)
Density functional theory data (PBE-GGA) for LiReN2F after structural relaxation.

Summary:
Energy relative to the lowest polymorph listed for this composition ... 1.428 eV per atom
Fermi-level density of states ... 3.99 states/eV per cell
Volume ... 8.65 A^3/atom

abc: 3.7544 3.7544 3.0697
angles: 90.00 90.00 90.00
Last column: nearest neighbours and their distance in Å.
Fractional positions:
1 Li 0.0000 0.0000 0.0000  2 F 1.53
2 Re 0.5000 0.5000 0.5000  8 N 2.42, 4 F 2.65
3 N 0.0000 0.5000 0.0000  2 Li 1.88
4 N 0.5000 0.0000 0.0000  2 Li 1.88
5 F 0.0000 0.0000 0.5000  2 Li 1.53

(4)
Density functional theory data (PBE-GGA) for LiRuN2F after structural relaxation.

Summary:
Energy relative to the lowest polymorph listed for this composition ... 1.175 eV per atom
Fermi-level density of states ... 3.49 states/eV per cell
Volume ... 9.31 A^3/atom

abc: 3.7998 3.7998 3.2232
angles: 90.00 90.00 90.00
Last column: nearest neighbours and their distance in Å.
Fractional positions:
1 Li 0.0000 0.0000 0.0000  2 F 1.61
2 Ru 0.5000 0.5000 0.5000  8 N 2.49, 4 F 2.69
3 N 0.0000 0.5000 0.0000  2 Li 1.90
4 N 0.5000 0.0000 0.0000  2 Li 1.90
5 F 0.0000 0.0000 0.5000  2 Li 1.61

(5)
Density functional theory data (PBE-GGA) for LiRuN2F after structural relaxation.

Summary:
Energy relative to the lowest polymorph listed for this composition ... 2.094 eV per atom
Fermi-level density of states ... 4.49 states/eV per cell
Volume ... 13.08 A^3/atom

abc: 4.1803 4.1803 3.7440
angles: 90.00 90.00 90.00
Last column: nearest neighbours and their distance in Å.
Fractional positions:
1 Li 0.0000 0.0000 0.0000  8 N 2.81, 4 Ru 2.96
2 Ru 0.5000 0.5000 0.0000  2 F 1.87
3 N 0.0000 0.5000 0.5000  2 F 2.09
4 N 0.5000 0.0000 0.5000  2 F 2.09
5 F 0.5000 0.5000 0.5000  2 Ru 1.87, 4 N 2.09

(6)
Density functional theory data (PBE-GGA) for LiRuN2F after structural relaxation.

Summary:
Energy relative to the lowest polymorph listed for this composition ... 0.000 eV per atom
Fermi-level density of states ... 2.79 states/eV per cell
Volume ... 12.63 A^3/atom

abc: 3.7742 3.7742 4.4347
angles: 90.00 90.00 90.00
Last column: nearest neighbours and their distance in Å.
Fractional positions:
1 Li 0.0000 0.0000 0.0000  4 F 2.67, 8 N 2.91
2 Ru 0.5000 0.5000 0.5000  4 N 1.89
3 N 0.0000 0.5000 0.5000  2 Ru 1.89
4 N 0.5000 0.0000 0.5000  2 Ru 1.89
5 F 0.5000 0.5000 0.0000  2 Ru 2.22

(7)
Density functional theory data (PBE-GGA) for LiS2NF after structural relaxation.

Summary:
Energy relative to the lowest polymorph listed for this composition ... 0.154 eV per atom
Fermi-level density of states ... 3.96 states/eV per cell
Volume ... 13.19 A^3/atom

abc: 4.3053 4.3053 3.5577
angles: 90.00 90.00 90.00
Last column: nearest neighbours and their distance in Å.
Fractional positions:
1 Li 0.0000 0.0000 0.0000  2 N 1.78
2 S 0.0000 0.5000 0.0000  2 Li 2.15
3 S 0.5000 0.0000 0.0000  2 Li 2.15
4 N 0.0000 0.0000 0.5000  2 Li 1.78
5 F 0.5000 0.5000 0.5000  8 S 2.79, 4 N 3.04

(8)
Density functional theory data (PBE-GGA) for LiSNF2 after structural relaxation.

Summary:
Energy relative to the lowest polymorph listed for this composition ... 0.000 eV per atom
Fermi-level density of states ... 0.67 states/eV per cell
Volume ... 13.15 A^3/atom

abc: 4.4463 4.4463 3.3255
angles: 90.00 90.00 90.00
Last column: nearest neighbours and their distance in Å.
Fractional positions:
1 Li 0.0000 0.0000 0.0000  8 F 2.78
2 S 0.5000 0.5000 0.5000  2 N 1.66
3 N 0.5000 0.5000 0.0000  2 S 1.66
4 F 0.0000 0.5000 0.5000  2 S 2.22
5 F 0.5000 0.0000 0.5000  2 S 2.22

(9)
Density functional theory data (PBE-GGA) for LiS2NF after structural relaxation.

Summary:
Energy relative to the lowest polymorph listed for this composition ... 0.000 eV per atom
Fermi-level density of states ... 2.65 states/eV per cell
Volume ... 17.67 A^3/atom

abc: 4.2643 4.2643 4.8582
angles: 90.00 90.00 90.00
Last column: nearest neighbours and their distance in Å.
Fractional positions:
1 Li 0.0000 0.0000 0.0000  4 N 3.02, 8 S 3.23
2 S 0.0000 0.5000 0.5000  2 F 2.13
3 S 0.5000 0.0000 0.5000  2 F 2.13
4 N 0.5000 0.5000 0.0000  2 F 2.43
5 F 0.5000 0.5000 0.5000  4 S 2.13

(10)
Density functional theory data (PBE-GGA) for LiSNF2 after structural relaxation.

Summary:
Energy relative to the lowest polymorph listed for this composition ... 0.676 eV per atom
Fermi-level density of states ... 2.54 states/eV per cell
Volume ... 10.61 A^3/atom

abc: 3.4876 3.4876 4.3623
angles: 90.00 90.00 90.00
Last column: nearest neighbours and their distance in Å.
Fractional positions:
1 Li 0.0000 0.0000 0.0000  4 F 1.74
2 S 0.5000 0.5000 0.5000  4 N 2.47
3 N 0.0000 0.0000 0.5000  2 Li 2.18
4 F 0.0000 0.5000 0.0000  2 Li 1.74
5 F 0.5000 0.0000 0.0000  2 Li 1.74

(11)
Density functional theory data (PBE-GGA) for LiSbN2F after structural relaxation.

Summary:
Energy relative to the lowest polymorph listed for this composition ... 0.483 eV per atom
Fermi-level density of states ... 2.71 states/eV per cell
Volume ... 10.48 A^3/atom

abc: 3.8475 3.8475 3.5406
angles: 90.00 90.00 90.00
Last column: nearest neighbours and their distance in Å.
Fractional positions:
1 Li 0.0000 0.0000 0.0000  2 F 1.77, 4 N 1.92
2 Sb 0.5000 0.5000 0.5000  8 N 2.61, 4 F 2.72
3 N 0.0000 0.5000 0.0000  2 Li 1.92
4 N 0.5000 0.0000 0.0000  2 Li 1.92
5 F 0.0000 0.0000 0.5000  2 Li 1.77

(12)
Density functional theory data (PBE-GGA) for LiSbN2F after structural relaxation.

Summary:
Energy relative to the lowest polymorph listed for this composition ... 0.000 eV per atom
Fermi-level density of states ... 0.46 states/eV per cell
Volume ... 13.68 A^3/atom

abc: 3.9856 3.9856 4.3058
angles: 90.00 90.00 90.00
Last column: nearest neighbours and their distance in Å.
Fractional positions:
1 Li 0.0000 0.0000 0.0000  4 F 2.82, 8 N 2.93
2 Sb 0.5000 0.5000 0.5000  4 N 1.99, 2 F 2.15
3 N 0.0000 0.5000 0.5000  2 Sb 1.99
4 N 0.5000 0.0000 0.5000  2 Sb 1.99
5 F 0.5000 0.5000 0.0000  2 Sb 2.15

(13)
Density functional theory data (PBE-GGA) for LiScNF2 after structural relaxation.

Summary:
Energy relative to the lowest polymorph listed for this composition ... 0.173 eV per atom
Fermi-level density of states ... 0.13 states/eV per cell
Volume ... 9.94 A^3/atom

abc: 3.4483 3.4483 4.1809
angles: 90.00 90.00 90.00
Last column: nearest neighbours and their distance in Å.
Fractional positions:
1 Li 0.0000 0.0000 0.0000  4 F 1.72
2 Sc 0.5000 0.5000 0.5000  4 N 2.44, 8 F 2.71
3 N 0.0000 0.0000 0.5000  2 Li 2.09
4 F 0.0000 0.5000 0.0000  2 Li 1.72
5 F 0.5000 0.0000 0.0000  2 Li 1.72

(14)
Density functional theory data (PBE-GGA) for LiScNF2 after structural relaxation.

Summary:
Energy relative to the lowest polymorph listed for this composition ... 0.000 eV per atom
Fermi-level density of states ... 4.78 states/eV per cell
Volume ... 14.21 A^3/atom

abc: 4.1112 4.1112 4.2036
angles: 90.00 90.00 90.00
Last column: nearest neighbours and their distance in Å.
Fractional positions:
1 Li 0.0000 0.0000 0.0000  4 N 2.91, 8 F 2.94
2 Sc 0.5000 0.5000 0.5000  4 F 2.06, 2 N 2.10
3 N 0.5000 0.5000 0.0000  2 Sc 2.10
4 F 0.0000 0.5000 0.5000  2 Sc 2.06
5 F 0.5000 0.0000 0.5000  2 Sc 2.06

(15)
Density functional theory data (PBE-GGA) for LiSe2NF after structural relaxation.

Summary:
Energy relative to the lowest polymorph listed for this composition ... 0.070 eV per atom
Fermi-level density of states ... 3.46 states/eV per cell
Volume ... 14.53 A^3/atom

abc: 4.5404 4.5404 3.5234
angles: 90.00 90.00 90.00
Last column: nearest neighbours and their distance in Å.
Fractional positions:
1 Li 0.0000 0.0000 0.0000  2 N 1.76
2 Se 0.0000 0.5000 0.0000  2 Li 2.27
3 Se 0.5000 0.0000 0.0000  2 Li 2.27
4 N 0.0000 0.0000 0.5000  2 Li 1.76
5 F 0.5000 0.5000 0.5000  8 Se 2.87, 4 N 3.21

(16)
Density functional theory data (PBE-GGA) for LiSeNF2 after structural relaxation.

Summary:
Energy relative to the lowest polymorph listed for this composition ... 0.000 eV per atom
Fermi-level density of states ... 0.59 states/eV per cell
Volume ... 14.91 A^3/atom

abc: 4.5094 4.5094 3.6662
angles: 90.00 90.00 90.00
Last column: nearest neighbours and their distance in Å.
Fractional positions:
1 Li 0.0000 0.0000 0.0000  8 F 2.91, 4 N 3.19
2 Se 0.5000 0.5000 0.5000  2 N 1.83
3 N 0.5000 0.5000 0.0000  2 Se 1.83
4 F 0.0000 0.5000 0.5000  2 Se 2.25
5 F 0.5000 0.0000 0.5000  2 Se 2.25

(17)
Density functional theory data (PBE-GGA) for LiSeNF after structural relaxation.

Summary:
Energy relative to the lowest polymorph listed for this composition ... 0.092 eV per atom
Fermi-level density of states ... 0.59 states/eV per cell
Volume ... 14.25 A^3/atom

abc: 3.1069 3.2160 6.3589
angles: 95.48 93.62 114.91
Last column: nearest neighbours and their distance in Å.
Fractional positions:
1 Li 0.0000 0.0000 0.0000  3 F 1.90-1.93
2 Se 0.3866 0.6567 0.5035  1 N 1.74
3 N 0.1132 0.1108 0.3551  1 Se 1.74
4 F 0.6429 0.3369 0.9377  3 Li 1.90-1.93

(18)
Density functional theory data (PBE-GGA) for LiSeNF2 after structural relaxation.

Summary:
Energy relative to the lowest polymorph listed for this composition ... 0.368 eV per atom
Fermi-level density of states ... 1.91 states/eV per cell
Volume ... 10.87 A^3/atom

abc: 3.4911 3.4911 4.4606
angles: 90.00 90.00 90.00
Last column: nearest neighbours and their distance in Å.
Fractional positions:
1 Li 0.0000 0.0000 0.0000  4 F 1.75
2 Se 0.5000 0.5000 0.5000  4 N 2.47
3 N 0.0000 0.0000 0.5000  2 Li 2.23, 4 Se 2.47
4 F 0.0000 0.5000 0.0000  2 Li 1.75
5 F 0.5000 0.0000 0.0000  2 Li 1.75

(19)
Density functional theory data (PBE-GGA) for LiSe2NF after structural relaxation.

Summary:
Energy relative to the lowest polymorph listed for this composition ... 0.000 eV per atom
Fermi-level density of states ... 2.63 states/eV per cell
Volume ... 19.79 A^3/atom

abc: 4.4687 4.4687 4.9541
angles: 90.00 90.00 90.00
Last column: nearest neighbours and their distance in Å.
Fractional positions:
1 Li 0.0000 0.0000 0.0000  4 N 3.16, 8 Se 3.34
2 Se 0.0000 0.5000 0.5000  2 F 2.23
3 Se 0.5000 0.0000 0.5000  2 F 2.23
4 N 0.5000 0.5000 0.0000  2 F 2.48
5 F 0.5000 0.5000 0.5000  4 Se 2.23, 2 N 2.48

(20)
Density functional theory data (PBE-GGA) for LiSeNF after structural relaxation.

Summary:
Energy relative to the lowest polymorph listed for this composition ... 0.000 eV per atom
Fermi-level density of states ... 0.52 states/eV per cell
Volume ... 13.20 A^3/atom

abc: 6.6750 6.6750 2.9499
angles: 102.62 102.62 24.33
Last column: nearest neighbours and their distance in Å.
Fractional positions:
1 Li 0.0000 0.0000 0.0000  4 F 2.07-2.08, 1 N 2.18
2 Se 0.7633 0.7633 0.2591  2 N 1.83
3 N 0.1714 0.1714 0.1678  2 Se 1.83
4 F 0.4694 0.4694 0.4700  4 Li 2.07-2.08

(21)
Density functional theory data (PBE-GGA) for LiSi2NF after structural relaxation.

Summary:
Fermi-level density of states ... 2.95 states/eV per cell
Volume ... 16.83 A^3/atom

abc: 3.7050 3.7050 6.1320
angles: 90.00 90.00 90.00
Last column: nearest neighbours and their distance in Å.
Fractional positions:
1 Li 0.0000 0.0000 0.0000  4 F 2.62
2 Si 0.0000 0.5000 0.5000  2 N 1.85
3 Si 0.5000 0.0000 0.5000  2 N 1.85
4 N 0.5000 0.5000 0.5000  4 Si 1.85
5 F 0.5000 0.5000 0.0000  4 Li 2.62

(22)
Density functional theory data (PBE-GGA) for LiSnN2F after structural relaxation.

Summary:
Energy relative to the lowest polymorph listed for this composition ... 0.000 eV per atom
Fermi-level density of states ... 3.18 states/eV per cell
Volume ... 14.71 A^3/atom

abc: 4.1109 4.1109 4.3519
angles: 90.00 90.00 90.00
Last column: nearest neighbours and their distance in Å.
Fractional positions:
1 Li 0.0000 0.0000 0.0000  4 F 2.91, 8 N 2.99
2 Sn 0.5000 0.5000 0.5000  4 N 2.06, 2 F 2.18
3 N 0.0000 0.5000 0.5000  2 Sn 2.06
4 N 0.5000 0.0000 0.5000  2 Sn 2.06
5 F 0.5000 0.5000 0.0000  2 Sn 2.18

(23)
Density functional theory data (PBE-GGA) for LiSnNF2 after structural relaxation.

Summary:
Energy relative to the lowest polymorph listed for this composition ... 0.140 eV per atom
Fermi-level density of states ... 1.19 states/eV per cell
Volume ... 11.09 A^3/atom

abc: 3.5532 3.5532 4.3919
angles: 90.00 90.00 90.00
Last column: nearest neighbours and their distance in Å.
Fractional positions:
1 Li 0.0000 0.0000 0.0000  4 F 1.78
2 Sn 0.5000 0.5000 0.5000  4 N 2.51
3 N 0.0000 0.0000 0.5000  2 Li 2.20
4 F 0.0000 0.5000 0.0000  2 Li 1.78
5 F 0.5000 0.0000 0.0000  2 Li 1.78

(24)
Density functional theory data (PBE-GGA) for LiSnN2F after structural relaxation.

Summary:
Energy relative to the lowest polymorph listed for this composition ... 0.365 eV per atom
Fermi-level density of states ... 2.91 states/eV per cell
Volume ... 10.43 A^3/atom

abc: 3.8105 3.8105 3.5900
angles: 90.00 90.00 90.00
Last column: nearest neighbours and their distance in Å.
Fractional positions:
1 Li 0.0000 0.0000 0.0000  2 F 1.79, 4 N 1.91
2 Sn 0.5000 0.5000 0.5000  8 N 2.62, 4 F 2.69
3 N 0.0000 0.5000 0.0000  2 Li 1.91
4 N 0.5000 0.0000 0.0000  2 Li 1.91
5 F 0.0000 0.0000 0.5000  2 Li 1.79

(25)
Density functional theory data (PBE-GGA) for LiSnNF2 after structural relaxation.

Summary:
Energy relative to the lowest polymorph listed for this composition ... 0.000 eV per atom
Fermi-level density of states ... 1.76 states/eV per cell
Volume ... 14.69 A^3/atom

abc: 4.3581 4.3581 3.8669
angles: 90.00 90.00 90.00
Last column: nearest neighbours and their distance in Å.
Fractional positions:
1 Li 0.0000 0.0000 0.0000  8 F 2.91, 4 N 3.08
2 Sn 0.5000 0.5000 0.5000  2 N 1.93
3 N 0.5000 0.5000 0.0000  2 Sn 1.93
4 F 0.0000 0.5000 0.5000  2 Sn 2.18
5 F 0.5000 0.0000 0.5000  2 Sn 2.18

Going through the records in order, we get formation energy from raw total energies values of 175 -443 985 1054 1974 -121 1191 -592 1037 84 519 35 -1804 -1977 845 -609 -790 -241 775 -882 -22 104 -1015 469 -1155 meV per atom.